TmZn4Ni2 | GGA-PBE | optimized geometry

Computed properties:
D(E_F) in states/eV/f.u.: 3.587
Energy relative to the elements in eV/atom: -0.2878
Offset from the most stable computed form in meV/atom: 0
Energy in eV per atom: -3.306
Volume in A^3/atom: 14.75

Lattice parameters (Å, degrees): 8.112 6.431 5.014 90.00 127.84 90.00
Space group C2/m (No. 12)
Unique sites:
Tm1 0.000 0.000 0.000 (multiplicity 2)
Zn1 0.194 0.194 0.694 (multiplicity 8)
Ni1 0.001 0.500 0.750 (multiplicity 4)